Entry 1:
PuPaPdPb | the Alexandria database | GGA-PBE | relaxed; crystal system = cubic
1.0
7.222 0.000 0.000
0.000 7.222 0.000
0.000 0.000 7.222
Pu Pa Pd Pb
4 4 4 4
direct
0.000 0.000 0.000
0.000 0.500 0.500
0.500 0.000 0.500
0.500 0.500 0.000
0.250 0.250 0.750
0.250 0.750 0.250
0.750 0.250 0.250
0.750 0.750 0.750
0.250 0.250 0.250
0.250 0.750 0.750
0.750 0.250 0.750
0.750 0.750 0.250
0.000 0.000 0.500
0.000 0.500 0.000
0.500 0.000 0.000
0.500 0.500 0.500

Entry 2:
Tl3Ag5Br12 | the Alexandria database | GGA-PBE | relaxed; formation energy without anion corrections = -391 meV per atom; crystal system = cubic
1.0
-8.765 8.765 8.765
8.765 -8.765 8.765
8.765 8.765 -8.765
Tl Ag Br
12 20 48
direct
0.125 0.250 0.375
0.125 0.375 0.750
0.250 0.375 0.125
0.250 0.875 0.625
0.375 0.125 0.250
0.375 0.750 0.125
0.625 0.250 0.875
0.625 0.875 0.750
0.750 0.125 0.375
0.750 0.625 0.875
0.875 0.625 0.250
0.875 0.750 0.625
0.000 0.000 0.000
0.000 0.000 0.500
0.000 0.500 0.000
0.000 0.500 0.500
0.125 0.750 0.875
0.125 0.875 0.250
0.250 0.125 0.875
0.250 0.625 0.375
0.375 0.250 0.625
0.375 0.625 0.750
0.500 0.000 0.000
0.500 0.000 0.500
0.500 0.500 0.000
0.500 0.500 0.500
0.625 0.375 0.250
0.625 0.750 0.375
0.750 0.375 0.625
0.750 0.875 0.125
0.875 0.125 0.750
0.875 0.250 0.125
0.021 0.195 0.117
0.021 0.326 0.904
0.078 0.695 0.674
0.078 0.883 0.404
0.096 0.617 0.422
0.096 0.979 0.674
0.117 0.021 0.195
0.117 0.596 0.922
0.174 0.195 0.578
0.174 0.479 0.596
0.195 0.117 0.021
0.195 0.578 0.174
0.305 0.326 0.922
0.305 0.479 0.383
0.326 0.904 0.021
0.326 0.922 0.305
0.383 0.305 0.479
0.383 0.578 0.904
0.404 0.078 0.883
0.404 0.826 0.521
0.422 0.096 0.617
0.422 0.826 0.805
0.479 0.383 0.305
0.479 0.596 0.174
0.521 0.404 0.826
0.521 0.617 0.695
0.578 0.174 0.195
0.578 0.904 0.383
0.596 0.174 0.479
0.596 0.922 0.117
0.617 0.422 0.096
0.617 0.695 0.521
0.674 0.078 0.695
0.674 0.096 0.979
0.695 0.521 0.617
0.695 0.674 0.078
0.805 0.422 0.826
0.805 0.883 0.979
0.826 0.521 0.404
0.826 0.805 0.422
0.883 0.404 0.078
0.883 0.979 0.805
0.904 0.021 0.326
0.904 0.383 0.578
0.922 0.117 0.596
0.922 0.305 0.326
0.979 0.674 0.096
0.979 0.805 0.883

Entry 3:
MnCu2As | the Alexandria database | GGA-PBE | relaxed; crystal system = monoclinic
1.0
2.793 0.000 0.000
0.000 4.171 0.000
-0.819 0.000 4.884
Mn Cu As
1 2 1
direct
0.000 0.000 0.000
0.461 0.500 0.758
0.539 0.500 0.242
0.500 0.000 0.500

Entry 4:
CaBrO2 | the Alexandria database | GGA-PBE | relaxed; formation energy without anion corrections = -1055 meV per atom; crystal system = tetragonal; E above lowest polymorph = 402 meV/atom
1.0
3.505 0.000 0.000
0.000 3.505 0.000
0.000 0.000 4.884
Ca Br O
1 1 2
direct
0.000 0.000 0.000
0.500 0.500 0.500
0.000 0.000 0.500
0.500 0.500 0.000

Entry 5:
YTeMo4 | the Alexandria database | GGA-PBE | relaxed; formation energy without anion corrections = 268 meV per atom; crystal system = cubic
1.0
0.000 3.850 3.850
3.850 0.000 3.850
3.850 3.850 0.000
Y Te Mo
1 1 4
direct
0.000 0.000 0.000
0.250 0.250 0.250
0.126 0.625 0.625
0.625 0.126 0.625
0.625 0.625 0.126
0.625 0.625 0.625

Entry 6:
BeAl2Mo | the Alexandria database | GGA-PBE | relaxed; crystal system = monoclinic
1.0
2.713 0.000 0.000
0.000 4.167 0.000
-0.641 0.000 4.975
Be Al Mo
1 2 1
direct
0.000 0.000 0.000
0.118 0.500 0.754
0.882 0.500 0.246
0.500 0.000 0.500

Entry 7:
TeHCl | the Alexandria database | GGA-PBE | relaxed; crystal system = triclinic; E above lowest polymorph = 146 meV/atom
1.0
4.755 0.000 0.000
-1.795 5.980 0.000
-0.847 -2.652 6.096
Te H Cl
2 2 2
direct
0.001 0.275 0.357
0.999 0.725 0.643
0.216 0.689 0.841
0.784 0.311 0.159
0.337 0.171 0.805
0.663 0.829 0.195

Entry 8:
TcHRhW2 | the Alexandria database | GGA-PBE | relaxed; crystal system = tetragonal; E above lowest polymorph = 6 meV/atom
1.0
4.030 0.000 0.000
0.000 4.030 0.000
0.000 0.000 3.871
Tc H Rh W
1 1 1 2
direct
0.000 0.000 0.000
0.500 0.500 0.500
0.500 0.500 0.000
0.000 0.500 0.500
0.500 0.000 0.500

no.,DFT total energy (Ry per atom)
1,-0.6000
2,-0.1810
3,-0.3969
4,-0.3273
5,-0.6287
6,-0.4054
7,-0.2130
8,-0.6880